1.
In2IrW | PBE-GGA | optimized geometry

a = 2.9470 Å, b = 2.9707 Å, c = 8.8172 Å
α = 90.00°, β = 99.55°, γ = 90.00°
With the nearest neighbours (Å) after each atom.
Sites, in units of the cell vectors:
In (0.0000, 0.0000, 0.0000)  4 Ir 2.93-2.94, 6 In 2.95-3.18
In (0.1625, 0.5000, 0.3238)  6 In 2.95-3.18, 4 W 3.00
Ir (0.3811, 0.5000, 0.7635)  4 W 2.68, 4 In 2.93-2.94, 4 Ir 2.95-2.97
W (0.7859, 0.0000, 0.5717)  4 Ir 2.68, 4 W 2.95-2.97

DOS at the Fermi energy = 2.4 states/eV per cell
Raw total energy = -27.01 eV per cell
Offset from the most stable computed form = 0.0 kJ/mol of formula units

2.
In2IrW | PBE-GGA | optimized geometry

a = 4.7888 Å, b = 4.7888 Å, c = 3.1085 Å
α = 90.00°, β = 90.00°, γ = 90.00°
With the nearest neighbours (Å) after each atom.
Sites, in units of the cell vectors:
In (0.0000, 0.5000, 0.0000)  4 W 2.85, 4 Ir 2.85, 2 In 3.11
In (0.5000, 0.0000, 0.0000)  4 W 2.85, 4 Ir 2.85, 2 In 3.11
Ir (0.0000, 0.0000, 0.5000)  8 In 2.85, 2 Ir 3.11
W (0.5000, 0.5000, 0.5000)  8 In 2.85, 2 W 3.11

DOS at the Fermi energy = 2.7 states/eV per cell
Raw total energy = -25.42 eV per cell
Offset from the most stable computed form = 153.3 kJ/mol of formula units

3.
In2IrW | PBE-GGA | optimized geometry

a = 6.0456 Å, b = 6.0456 Å, c = 6.0456 Å
α = 101.87°, β = 101.87°, γ = 126.06°
With the nearest neighbours (Å) after each atom.
Sites, in units of the cell vectors:
In (0.1043, 0.1250, 0.4793)  2 Ir 2.67, 2 In 2.76, 2 W 2.89
In (0.3750, 0.8957, 0.0207)  2 Ir 2.67, 2 In 2.76, 2 W 2.89
In (0.6457, 0.6250, 0.5207)  2 Ir 2.67, 2 In 2.76, 2 W 2.89
In (0.8750, 0.3543, 0.9793)  2 Ir 2.67, 2 In 2.76, 2 W 2.89
Ir (0.0000, 0.0000, 0.0000)  4 In 2.67, 2 W 2.74
Ir (0.7500, 0.2500, 0.5000)  4 In 2.67, 2 W 2.74
W (0.2500, 0.7500, 0.5000)  2 Ir 2.74, 4 In 2.89
W (0.5000, 0.5000, 0.0000)  2 Ir 2.74, 4 In 2.89

DOS at the Fermi energy = 7.5 states/eV per cell
Raw total energy = -47.69 eV per cell
Offset from the most stable computed form = 305.5 kJ/mol of formula units

4.
InIr4W | PBE-GGA | optimized geometry

a = 5.1920 Å, b = 5.1920 Å, c = 5.1920 Å
α = 60.00°, β = 60.00°, γ = 60.00°
With the nearest neighbours (Å) after each atom.
Sites, in units of the cell vectors:
In (0.0000, 0.0000, 0.0000)  12 Ir 3.04, 4 W 3.18
Ir (0.3748, 0.3748, 0.3748)  6 Ir 2.59-2.60
Ir (0.3748, 0.3748, 0.8754)  6 Ir 2.59-2.60
Ir (0.3748, 0.8754, 0.3748)  6 Ir 2.59-2.60
Ir (0.8754, 0.3748, 0.3748)  6 Ir 2.59-2.60
W (0.7500, 0.7500, 0.7500)  12 Ir 3.04, 4 In 3.18

DOS at the Fermi energy = 6.2 states/eV per cell
Raw total energy = -48.95 eV per cell

5.
In2IrW | PBE-GGA | optimized geometry

a = 2.9385 Å, b = 2.9385 Å, c = 8.3026 Å
α = 90.00°, β = 90.00°, γ = 90.00°
With the nearest neighbours (Å) after each atom.
Sites, in units of the cell vectors:
In (0.0000, 0.0000, 0.2315)  4 Ir 2.83, 4 In 2.94, 4 W 3.05
In (0.0000, 0.0000, 0.7685)  4 Ir 2.83, 4 In 2.94, 4 W 3.05
Ir (0.5000, 0.5000, 0.0000)  8 In 2.83, 4 Ir 2.94
W (0.5000, 0.5000, 0.5000)  4 W 2.94, 8 In 3.05

DOS at the Fermi energy = 2.4 states/eV per cell
Raw total energy = -25.70 eV per cell
Offset from the most stable computed form = 126.2 kJ/mol of formula units

6.
In2IrW | PBE-GGA | optimized geometry

a = 5.6345 Å, b = 5.6345 Å, c = 5.0089 Å
α = 111.05°, β = 111.05°, γ = 30.02°
With the nearest neighbours (Å) after each atom.
Sites, in units of the cell vectors:
In (0.0000, 0.0000, 0.0000)  4 Ir 2.85-3.02, 3 In 2.92-3.03, 3 W 2.96-2.99
In (0.2082, 0.2082, 0.6034)  4 W 2.88-3.00, 3 In 2.92-3.03, 3 Ir 2.95-2.99
Ir (0.4538, 0.4538, 0.4827)  2 W 2.66, 3 In 2.85-2.95, 2 Ir 2.92
W (0.7559, 0.7559, 0.1283)  2 Ir 2.66, 3 In 2.88-2.96, 2 W 2.92

DOS at the Fermi energy = 4.2 states/eV per cell
Raw total energy = -26.13 eV per cell
Offset from the most stable computed form = 85.4 kJ/mol of formula units

7.
In2IrW | PBE-GGA | optimized geometry

a = 4.6865 Å, b = 4.6865 Å, c = 4.6865 Å
α = 60.00°, β = 60.00°, γ = 60.00°
With the nearest neighbours (Å) after each atom.
Sites, in units of the cell vectors:
In (0.0000, 0.0000, 0.0000)  4 In 2.87, 4 Ir 2.87
In (0.2500, 0.2500, 0.2500)  4 In 2.87, 4 W 2.87
Ir (0.7500, 0.7500, 0.7500)  4 In 2.87, 4 W 2.87
W (0.5000, 0.5000, 0.5000)  4 In 2.87, 4 Ir 2.87

DOS at the Fermi energy = 5.3 states/eV per cell
Raw total energy = -24.84 eV per cell
Offset from the most stable computed form = 209.7 kJ/mol of formula units

8.
In2IrW | PBE-GGA | optimized geometry

a = 2.9636 Å, b = 2.9636 Å, c = 8.8035 Å
α = 90.00°, β = 90.00°, γ = 90.00°
With the nearest neighbours (Å) after each atom.
Sites, in units of the cell vectors:
In (0.0000, 0.0000, 0.0000)  4 In 2.96, 4 W 3.02
In (0.5000, 0.5000, 0.3279)  4 In 2.96, 4 Ir 2.97
Ir (0.0000, 0.0000, 0.5669)  4 W 2.66, 4 Ir 2.96, 4 In 2.97
W (0.5000, 0.5000, 0.7529)  4 Ir 2.66, 4 W 2.96

DOS at the Fermi energy = 3.1 states/eV per cell
Raw total energy = -26.73 eV per cell
Offset from the most stable computed form = 27.2 kJ/mol of formula units

9.
InIrW4 | PBE-GGA | optimized geometry

a = 5.2911 Å, b = 5.2911 Å, c = 5.2911 Å
α = 60.00°, β = 60.00°, γ = 60.00°
With the nearest neighbours (Å) after each atom.
Sites, in units of the cell vectors:
In (0.0000, 0.0000, 0.0000)  12 W 3.10, 4 Ir 3.24
Ir (0.7500, 0.7500, 0.7500)  12 W 3.10, 4 In 3.24
W (0.3738, 0.3738, 0.3738)  6 W 2.62-2.67
W (0.3738, 0.3738, 0.8786)  6 W 2.62-2.67
W (0.3738, 0.8786, 0.3738)  6 W 2.62-2.67
W (0.8786, 0.3738, 0.3738)  6 W 2.62-2.67

DOS at the Fermi energy = 4.9 states/eV per cell
Raw total energy = -59.99 eV per cell

10.
YInIr | PBE-GGA | optimized geometry

a = 4.6853 Å, b = 4.6853 Å, c = 4.6853 Å
α = 60.00°, β = 60.00°, γ = 60.00°
With the nearest neighbours (Å) after each atom.
Sites, in units of the cell vectors:
Y (0.0000, 0.0000, 0.0000)  4 Ir 2.87
In (0.5000, 0.5000, 0.5000)  4 Ir 2.87
Ir (0.2500, 0.2500, 0.2500)  4 In 2.87, 4 Y 2.87

DOS at the Fermi energy = 1.3 states/eV per cell
Raw total energy = -19.73 eV per cell

11.
YInIr | PBE-GGA | optimized geometry

a = 4.7653 Å, b = 4.7653 Å, c = 4.7653 Å
α = 60.00°, β = 60.00°, γ = 60.00°
With the nearest neighbours (Å) after each atom.
Sites, in units of the cell vectors:
Y (0.0000, 0.0000, 0.0000)  4 Ir 2.92, 4 In 2.92
In (0.2500, 0.2500, 0.2500)  4 Y 2.92
Ir (0.7500, 0.7500, 0.7500)  4 Y 2.92

DOS at the Fermi energy = 2.3 states/eV per cell
Raw total energy = -17.53 eV per cell

12.
Y3InIr | PBE-GGA | optimized geometry

a = 5.3688 Å, b = 5.3688 Å, c = 5.3688 Å
α = 90.00°, β = 90.00°, γ = 90.00°
With the nearest neighbours (Å) after each atom.
Sites, in units of the cell vectors:
Y (0.0000, 0.0000, 0.5000)  2 Ir 2.68
Y (0.0000, 0.5000, 0.0000)  2 Ir 2.68
Y (0.5000, 0.0000, 0.0000)  2 Ir 2.68
In (0.5000, 0.5000, 0.5000)  12 Y 3.80
Ir (0.0000, 0.0000, 0.0000)  6 Y 2.68

DOS at the Fermi energy = 5.4 states/eV per cell
Raw total energy = -32.85 eV per cell
Offset from the most stable computed form = 99.0 kJ/mol of formula units